# Li3PuPa2Se6

Crystalline Li3PuPa2Se6 at its relaxed geometry (PBE-GGA, the Alexandria database).

Cell lengths 7.0138, 7.0138, 7.0151 Å; angles 99.60, 99.60, 119.99 degrees
Last column: magnetic moment on the atom in μB.
Fractional positions:
1 Se 0.4260 0.0864 0.2602  -0.04
2 Se 0.2510 0.2510 0.7366  -0.04
3 Se 0.9136 0.5740 0.7398  -0.04
4 Se 0.0864 0.4260 0.2602  -0.04
5 Se 0.7490 0.7490 0.2634  -0.04
6 Se 0.5740 0.9136 0.7398  -0.04
7 Li 0.8340 0.1660 0.5000  0.00
8 Li 0.5000 0.5000 0.5000  0.00
9 Li 0.1660 0.8340 0.5000  0.00
10 Pa 0.6659 0.3341 0.0000  1.33
11 Pa 0.3341 0.6659 0.0000  1.33
12 Pu 0.0000 0.0000 0.0000  5.45

## Properties
N(E_F)	15.979	states/eV/f.u.
crystal system	monoclinic
E_form (uncorrected)	-1.336	eV/atom